! Sm3Tl2Pb PBE optimized geometry; values from VASP
&SYSTEM
  ibrav = 0, nat = 12, ntyp = 3
/
ATOMIC_SPECIES
Sm 150.36 Sm.upf
Tl 204.38 Tl.upf
Pb 207.20 Pb.upf
CELL_PARAMETERS angstrom
8.285 -3.279 0.000
8.285 3.279 0.000
-1.377 0.000 6.503
ATOMIC_POSITIONS angstrom
Sm 7.252 2.391 4.877
Sm 4.905 0.766 2.631
Sm 4.216 -0.766 5.883
Sm 10.977 0.766 0.620
Sm 10.289 -0.766 3.872
Sm 7.941 -2.391 1.626
Tl 2.669 0.764 0.409
Tl 1.980 -0.764 3.660
Tl 13.213 0.764 2.843
Tl 12.524 -0.764 6.094
Pb 7.941 0.897 1.626
Pb 7.252 -0.897 4.877
! magnetization = 0.00 μB per formula unit
! energy of formation = -0.397 eV per atom
! polymorph energy (0 for the lowest one) = 23.5 meV per atom